SiGe3As | GGA-PBE | relaxed

Geometry as extended XYZ:
```
5
Lattice="4.787 0.000 0.000 0.000 4.787 0.000 0.000 0.000 4.787" Properties=species:S:1:pos:R:3 pbc="T T T"
As 2.393 2.393 2.393
Si 0.000 0.000 0.000
Ge 0.000 2.393 0.000
Ge 0.000 0.000 2.393
Ge 2.393 0.000 0.000
```

Calculated values
Magnetic moment in μB per formula unit: 0.00
Raw formation energy in eV per atom: 0.66
Total DFT energy (no corrections) in eV per atom: -4.1240
V in Å³/atom: 21.933
D(E_F) in states/eV per cell: 3.12
Excess energy over the best structure of this formula in the dataset in meV/atom: 0.0